{
  "formula": "HfMg2V",
  "functional": "PBE-GGA",
  "state": "optimized geometry",
  "magnetic_moment_mub_per_fu": 1.47,
  "sg": "I-42d",
  "dos_at_fermi_per_ev_fu": 3.86,
  "dft_energy_ev_per_atom": -4.840,
  "formation_energy_ev_per_atom": 0.73,
  "cell": [[7.775, 0.000, 0.000], [0.000, 7.775, 0.000], [3.887, 3.887, 2.713]],
  "species": ["Mg", "V", "Hf", "Mg", "Hf", "Mg", "V", "Mg"],
  "frac_coords": [[0.875, 0.848, 0.750], [0.250, 0.750, 0.500], [0.000, 0.000, 0.000], [0.598, 0.125, 0.250], [0.750, 0.250, 0.500], [0.152, 0.625, 0.250], [0.500, 0.500, 0.000], [0.375, 0.402, 0.750]]
}

{
  "formula": "Tb3ErTh2Bi6",
  "functional": "PBE-GGA",
  "state": "optimized geometry",
  "magnetic_moment_mub_per_fu": 0.00,
  "sg": "C2/m",
  "dos_at_fermi_per_ev_fu": 4.89,
  "dft_energy_ev_per_atom": -5.480,
  "formation_energy_ev_per_atom": -0.77,
  "cell": [[4.531, 0.000, 0.000], [0.000, 9.029, 0.325], [-2.266, -2.597, 9.503]],
  "species": ["Tb", "Tb", "Bi", "Th", "Bi", "Bi", "Bi", "Tb", "Th", "Er", "Bi", "Bi"],
  "frac_coords": [[0.500, 0.500, 0.000], [0.832, 0.166, 0.664], [0.335, 0.412, 0.669], [0.165, 0.331, 0.330], [0.335, 0.924, 0.670], [0.003, 0.754, 0.006], [0.997, 0.246, 0.994], [0.168, 0.834, 0.336], [0.835, 0.669, 0.670], [0.500, 0.000, 0.000], [0.665, 0.076, 0.330], [0.665, 0.588, 0.331]]
}

{
  "formula": "Pt2PbW",
  "functional": "PBE-GGA",
  "state": "optimized geometry",
  "magnetic_moment_mub_per_fu": 0.00,
  "sg": "C2/m",
  "dos_at_fermi_per_ev_fu": 3.77,
  "dft_energy_ev_per_atom": -6.905,
  "formation_energy_ev_per_atom": 0.28,
  "cell": [[-0.281, -6.386, 0.479], [4.445, 2.387, 0.740], [0.177, -1.187, 2.699]],
  "species": ["W", "Pt", "Pt", "Pb"],
  "frac_coords": [[0.000, 0.500, 0.500], [0.000, 0.000, 0.000], [0.500, 0.000, 0.500], [0.500, 0.500, 0.000]]
}

{
  "formula": "Ho3Cd2Ga",
  "functional": "PBE-GGA",
  "state": "optimized geometry",
  "magnetic_moment_mub_per_fu": 0.00,
  "sg": "P-3m1",
  "dos_at_fermi_per_ev_fu": 6.84,
  "dft_energy_ev_per_atom": -3.495,
  "formation_energy_ev_per_atom": -0.40,
  "cell": [[-0.711, -5.124, 0.339], [0.942, 2.187, -4.605], [6.259, -0.810, 0.897]],
  "species": ["Ho", "Ho", "Ho", "Cd", "Ga", "Cd"],
  "frac_coords": [[0.667, 0.333, 0.848], [0.000, 0.000, 0.500], [0.333, 0.667, 0.152], [0.667, 0.333, 0.352], [0.000, 0.000, 0.000], [0.333, 0.667, 0.648]]
}

{
  "formula": "TiMn2ZnGe",
  "functional": "PBE-GGA",
  "state": "optimized geometry",
  "magnetic_moment_mub_per_fu": 5.76,
  "sg": "P4/mmm",
  "dos_at_fermi_per_ev_fu": 3.45,
  "dft_energy_ev_per_atom": -5.481,
  "formation_energy_ev_per_atom": 0.94,
  "cell": [[-0.197, 4.590, -0.679], [-0.475, -0.749, -4.925], [-4.619, -0.129, 0.465]],
  "species": ["Zn", "Ti", "Mn", "Mn", "Ge"],
  "frac_coords": [[0.500, 0.500, 0.500], [0.000, 0.000, 0.000], [0.500, 0.000, 0.000], [0.000, 0.000, 0.500], [0.000, 0.500, 0.000]]
}

{
  "formula": "Ac6La8Ho",
  "functional": "PBE-GGA",
  "state": "optimized geometry",
  "magnetic_moment_mub_per_fu": 0.00,
  "sg": "R-3",
  "dos_at_fermi_per_ev_fu": 25.73,
  "dft_energy_ev_per_atom": -4.485,
  "formation_energy_ev_per_atom": 0.09,
  "cell": [[8.335, 0.153, 4.064], [2.604, 7.919, 4.064], [0.207, 0.153, 9.271]],
  "species": ["La", "La", "La", "Ac", "Ac", "Ac", "Ho", "Ac", "La", "Ac", "La", "La", "Ac", "La", "La"],
  "frac_coords": [[0.574, 0.574, 0.574], [0.295, 0.237, 0.889], [0.889, 0.295, 0.237], [0.910, 0.456, 0.757], [0.456, 0.757, 0.910], [0.757, 0.910, 0.456], [0.000, 0.000, 0.000], [0.090, 0.544, 0.243], [0.426, 0.426, 0.426], [0.544, 0.243, 0.090], [0.237, 0.889, 0.295], [0.763, 0.111, 0.705], [0.243, 0.090, 0.544], [0.705, 0.763, 0.111], [0.111, 0.705, 0.763]]
}

{
  "formula": "RbCd6In",
  "functional": "PBE-GGA",
  "state": "optimized geometry",
  "magnetic_moment_mub_per_fu": 0.00,
  "sg": "P4/mmm",
  "dos_at_fermi_per_ev_fu": 1.65,
  "dft_energy_ev_per_atom": -1.166,
  "formation_energy_ev_per_atom": -0.02,
  "cell": [[-1.153, -3.389, 3.326], [-0.932, -3.194, -3.579], [9.409, -2.989, 0.217]],
  "species": ["Cd", "Cd", "Cd", "Cd", "Cd", "Rb", "In", "Cd"],
  "frac_coords": [[0.500, 0.000, 0.677], [0.000, 0.500, 0.323], [0.500, 0.000, 0.323], [0.000, 0.500, 0.677], [0.500, 0.500, 0.853], [0.000, 0.000, 0.000], [0.000, 0.000, 0.500], [0.500, 0.500, 0.147]]
}

{
  "formula": "Dy4Y3Er",
  "functional": "PBE-GGA",
  "state": "optimized geometry",
  "magnetic_moment_mub_per_fu": 0.00,
  "sg": "Pmn2_1",
  "dos_at_fermi_per_ev_fu": 13.88,
  "dft_energy_ev_per_atom": -5.292,
  "formation_energy_ev_per_atom": 0.00,
  "cell": [[6.285, 0.000, 0.000], [0.000, 7.268, 0.000], [0.000, 0.000, 11.238]],
  "species": ["Y", "Dy", "Dy", "Er", "Y", "Dy", "Dy", "Er", "Y", "Dy", "Dy", "Y", "Y", "Y", "Dy", "Dy"],
  "frac_coords": [[0.646, 0.625, 0.000], [0.480, 0.876, 0.251], [0.150, 0.876, 0.000], [0.146, 0.374, 0.000], [0.146, 0.375, 0.500], [0.650, 0.124, 0.500], [0.980, 0.124, 0.751], [0.646, 0.626, 0.500], [0.482, 0.374, 0.250], [0.480, 0.876, 0.749], [0.149, 0.876, 0.500], [0.982, 0.626, 0.750], [0.982, 0.626, 0.250], [0.482, 0.374, 0.750], [0.649, 0.124, 0.000], [0.980, 0.124, 0.249]]
}

{
  "formula": "LiVSiIr",
  "functional": "PBE-GGA",
  "state": "optimized geometry",
  "magnetic_moment_mub_per_fu": 1.00,
  "sg": "F-43m",
  "e_form_raw_ev_per_fu": -2.1,
  "dos_at_fermi_per_ev_fu": 2.39,
  "dft_energy_ev_per_atom": -6.854,
  "cell": [[-3.179, 2.171, -1.624], [-3.410, 0.745, 2.296], [-0.798, 3.869, 1.360]],
  "species": ["Si", "Ir", "Li", "V"],
  "frac_coords": [[0.000, 0.000, 0.000], [0.750, 0.750, 0.750], [0.250, 0.250, 0.250], [0.500, 0.500, 0.500]]
}

{
  "formula": "Zn2Tc",
  "functional": "PBE-GGA",
  "state": "optimized geometry",
  "magnetic_moment_mub_per_fu": 0.00,
  "sg": "P6/mmm",
  "dos_at_fermi_per_ev_fu": 2.08,
  "dft_energy_ev_per_atom": -4.196,
  "formation_energy_ev_per_atom": 0.11,
  "cell": [[2.144, -3.714, 0.000], [2.144, 3.714, 0.000], [0.000, 0.000, 2.672]],
  "species": ["Zn", "Tc", "Zn"],
  "frac_coords": [[0.667, 0.333, 0.000], [0.000, 0.000, 0.500], [0.333, 0.667, 0.000]]
}

{
  "formula": "Ba2ZrP",
  "functional": "PBE-GGA",
  "state": "optimized geometry",
  "magnetic_moment_mub_per_fu": 1.07,
  "sg": "I-42d",
  "dos_at_fermi_per_ev_fu": 6.01,
  "dft_energy_ev_per_atom": -4.585,
  "formation_energy_ev_per_atom": -0.13,
  "cell": [[-10.362, 3.705, -4.066], [1.291, -6.792, -9.478], [-5.687, -3.443, -5.568]],
  "species": ["Ba", "P", "Ba", "Ba", "Ba", "Zr", "P", "Zr"],
  "frac_coords": [[0.875, 0.722, 0.750], [0.500, 0.500, 0.000], [0.278, 0.625, 0.250], [0.472, 0.125, 0.250], [0.375, 0.528, 0.750], [0.750, 0.250, 0.500], [0.250, 0.750, 0.500], [0.000, 0.000, 0.000]]
}

{
  "formula": "NbGeN2F",
  "functional": "PBE-GGA",
  "state": "optimized geometry",
  "magnetic_moment_mub_per_fu": 0.00,
  "sg": "P4/mmm",
  "e_form_raw_ev_per_fu": -1.8,
  "dos_at_fermi_per_ev_fu": 1.64,
  "dft_energy_ev_per_atom": -7.007,
  "cell": [[-1.598, 2.428, 2.931], [-3.760, -1.497, -0.811], [0.575, -2.929, 2.741]],
  "species": ["N", "Ge", "Nb", "F", "N"],
  "frac_coords": [[0.500, 0.000, 0.000], [0.500, 0.500, 0.500], [0.000, 0.000, 0.000], [0.000, 0.000, 0.500], [0.000, 0.500, 0.000]]
}

Q: Number 11 is which compound?
A: Ba2ZrP